(1)
Entry from Alexandria: a relaxed structure of YZnIF2 (PBE).

Structure (CIF):
```
data_YZnIF2
_chemical_formula_sum 'Y1 Zn1 I1 F2'
_cell_length_a 4.805
_cell_length_b 4.805
_cell_length_c 5.198
_cell_angle_alpha 90.00
_cell_angle_beta 90.00
_cell_angle_gamma 90.00
_space_group_name_H-M_alt 'P 4/m m m'
_space_group_IT_number 123
_space_group_name_Hall '-P 4 2'
loop_
_atom_site_label
_atom_site_type_symbol
_atom_site_fract_x
_atom_site_fract_y
_atom_site_fract_z
Y1 Y 0.000 0.000 0.000
Zn1 Zn 0.500 0.500 0.000
I1 I 0.500 0.500 0.500
F1 F 0.000 0.500 0.500
```

Results
formation energy without anion corrections = -0.46 eV/atom
E_tot = -0.22530 Ry/atom

---

(2)
Entry from Alexandria: a relaxed structure of CaTl3Ga (PBE).

Structure (CIF):
```
data_CaTl3Ga
_chemical_formula_sum 'Ca1 Tl3 Ga1'
_cell_length_a 5.493
_cell_length_b 5.493
_cell_length_c 5.493
_cell_angle_alpha 90.00
_cell_angle_beta 90.00
_cell_angle_gamma 90.00
_space_group_name_H-M_alt 'P m -3 m'
_space_group_IT_number 221
_space_group_name_Hall '-P 4 2 3'
loop_
_atom_site_label
_atom_site_type_symbol
_atom_site_fract_x
_atom_site_fract_y
_atom_site_fract_z
Ca1 Ca 0.000 0.000 0.000
Tl1 Tl 0.000 0.500 0.500
Ga1 Ga 0.500 0.500 0.500
```

Results
E_form = 0.078 eV per atom
E_tot = -0.17254 Ry/atom
relative energy among the computed polymorphs = 0.000 eV per atom

---

(3)
Entry from Alexandria: a relaxed structure of Ba8Bi5I (PBE).

Structure (CIF):
```
data_Ba8Bi5I
_chemical_formula_sum 'Ba16 Bi10 I2'
_cell_length_a 10.771
_cell_length_b 10.771
_cell_length_c 10.766
_cell_angle_alpha 90.00
_cell_angle_beta 90.00
_cell_angle_gamma 90.00
_space_group_name_H-M_alt 'I -4'
_space_group_IT_number 82
_space_group_name_Hall 'I -4'
loop_
_atom_site_label
_atom_site_type_symbol
_atom_site_fract_x
_atom_site_fract_y
_atom_site_fract_z
Ba1 Ba 0.071 0.314 0.433
Ba2 Ba 0.074 0.170 0.805
Bi1 Bi 0.000 0.000 0.500
Bi2 Bi 0.130 0.248 0.120
I1 I 0.000 0.500 0.750
```

Results
formation energy without anion corrections = -1.06 eV/atom
E_tot = -0.26894 Ry/atom

---

(4)
Entry from Alexandria: a relaxed structure of TlTe2Ir (PBE).

Structure (CIF):
```
data_TlTe2Ir
_chemical_formula_sum 'Tl1 Te2 Ir1'
_cell_length_a 3.335
_cell_length_b 3.335
_cell_length_c 9.728
_cell_angle_alpha 90.00
_cell_angle_beta 90.00
_cell_angle_gamma 90.00
_space_group_name_H-M_alt 'P 4 m m'
_space_group_IT_number 99
_space_group_name_Hall 'P 4 -2'
loop_
_atom_site_label
_atom_site_type_symbol
_atom_site_fract_x
_atom_site_fract_y
_atom_site_fract_z
Tl1 Tl 0.000 0.000 0.000
Te1 Te 0.000 0.000 0.375
Te2 Te 0.500 0.500 0.719
Ir1 Ir 0.500 0.500 0.248
```

Results
formation energy without anion corrections = 0.17 eV/atom
E_tot = -0.30947 Ry/atom
relative energy among the computed polymorphs = 0.393 eV per atom